The following is a DFT calculation (GGA-PBE) of a relaxed Zr2ScRu2 crystal. Values from VASP.

- E_tot: -8.7701 eV per atom
- ΔH_f (0 K): -0.37 eV per atom
- Magnetization: 0.000 μB/f.u.
- Energy relative to the lowest polymorph listed for this composition: 152.8 meV/atom
- SG: P4/mbm (127)

Structure (Quantum ESPRESSO input):
```
&SYSTEM
  ibrav = 0, nat = 10, ntyp = 3
/
ATOMIC_SPECIES
Ru 101.07 Ru.upf
Zr 91.22 Zr.upf
Sc 44.96 Sc.upf
ATOMIC_POSITIONS angstrom
Ru -7.300 3.394 -1.577
Ru -2.240 0.405 -1.863
Ru -5.443 1.022 -4.446
Ru -4.098 2.777 1.006
Zr -3.266 0.117 0.664
Zr -4.258 -1.076 -3.136
Zr -7.773 1.027 -2.879
Zr -6.782 2.220 0.921
Sc -4.770 1.900 -1.720
Sc 0.000 0.000 0.000
CELL_PARAMETERS angstrom
-5.452 4.462 3.001
-4.088 -0.663 -6.442
-1.499 -2.655 1.225
```



The following is a DFT calculation (GGA-PBE) of a relaxed Zr2ScRu crystal. Values from VASP.

- E_tot: -8.3454 eV per atom
- ΔH_f (0 K): -0.17 eV per atom
- Magnetization: 0.000 μB/f.u.
- Energy relative to the lowest polymorph listed for this composition: 165.8 meV/atom
- SG: P4/mmm (123)

Structure (Quantum ESPRESSO input):
```
&SYSTEM
  ibrav = 0, nat = 4, ntyp = 3
/
ATOMIC_SPECIES
Zr 91.22 Zr.upf
Sc 44.96 Sc.upf
Ru 101.07 Ru.upf
ATOMIC_POSITIONS angstrom
Zr 2.413 2.423 0.000
Zr 0.000 0.000 0.000
Sc -0.005 2.419 1.673
Ru 2.419 0.004 1.673
CELL_PARAMETERS angstrom
4.838 0.009 0.000
-0.011 4.838 0.000
0.000 0.000 3.345
```